A plane-wave DFT calculation with GGA-PBEsol was carried out for a geometry-optimized ZrBr2O structure.

The total DFT energy (no corrections) is -6.377 eV per atom. The uncorrected formation energy is -1.857 eV/atom. The calculation puts the calculated density at 4.46 g/cm3.

It has space group I-42d (No. 122), with a = 10.0346 Å, b = 10.0346 Å, c = 3.9493 Å, α = 90.00°, β = 90.00° and γ = 90.00°. The inequivalent atoms are Zr at (0.0000, 0.0000, 0.0000), Br at (0.0930, 0.2500, 0.1250) and O at (0.0000, 0.0000, 0.5000).

***

A plane-wave DFT calculation with GGA-PBEsol was carried out for a geometry-optimized CaMg2Cr2 structure.

The total DFT energy (no corrections) is -4.571 eV per atom. The calculation puts the calculated density at 2.97 g/cm3. As for the formation energy: 639.1 meV per atom.

It has space group I4/mmm (No. 139), with a = 4.3990 Å, b = 4.3990 Å, c = 11.1289 Å, α = 90.00°, β = 90.00° and γ = 90.00°. The inequivalent atoms are Ca at (0.0000, 0.0000, 0.0000), Mg at (0.0000, 0.5000, 0.2500) and Cr at (0.0000, 0.0000, 0.4212).

***

A plane-wave DFT calculation with GGA-PBEsol was carried out for a geometry-optimized Be3ClO structure.

The total DFT energy (no corrections) is -2.396 eV per atom. The uncorrected formation energy is 1.456 eV/atom. The calculation puts the calculated density at 1.99 g/cm3.

It has space group Pm-3m (No. 221), with a = 4.0288 Å, b = 4.0288 Å, c = 4.0288 Å, α = 90.00°, β = 90.00° and γ = 90.00°. The inequivalent atoms are Be at (0.0000, 0.0000, 0.5000), Cl at (0.0000, 0.0000, 0.0000) and O at (0.5000, 0.5000, 0.5000).

***

Question: What is the formula in the third record?
Answer: Be3ClO

***

Question: Among the records above, which one has the lowest calculated density?
Answer: Be3ClO